[1]
The following is a DFT calculation (GGA-PBE) of CuMoIr2 after structural relaxation.

The structure in CIF format:
```
data_CuMoIr2
_space_group_name_H-M_alt 'P m m m'
_space_group_IT_number 47
_space_group_name_Hall '-P 2 2'
_cell_length_a 2.782
_cell_length_b 3.716
_cell_length_c 5.522
_cell_angle_alpha 90.00
_cell_angle_beta 90.00
_cell_angle_gamma 90.00
loop_
_atom_site_label
_atom_site_type_symbol
_atom_site_fract_x
_atom_site_fract_y
_atom_site_fract_z
Cu1 Cu 0.000 0.000 0.000
Mo1 Mo 0.000 0.000 0.500
Ir1 Ir 0.500 0.500 0.243
```

The excess energy over the best structure of this formula in the dataset is 0.000 eV/atom. The calculation puts the magnetization at 0.0 μB per formula unit. Its crystal system is orthorhombic. For the energy relative to the elements, the calculation gives -0.1288 eV/atom.

[2]
The following is a DFT calculation (GGA-PBE) of CuMoIr2 after structural relaxation.

The structure in CIF format:
```
data_CuMoIr2
_space_group_name_H-M_alt 'P 4 m m'
_space_group_IT_number 99
_space_group_name_Hall 'P 4 -2'
_cell_length_a 2.727
_cell_length_b 2.727
_cell_length_c 7.681
_cell_angle_alpha 90.00
_cell_angle_beta 90.00
_cell_angle_gamma 90.00
loop_
_atom_site_label
_atom_site_type_symbol
_atom_site_fract_x
_atom_site_fract_y
_atom_site_fract_z
Cu1 Cu 0.000 0.000 0.000
Mo1 Mo 0.500 0.500 0.750
Ir1 Ir 0.000 0.000 0.489
Ir2 Ir 0.500 0.500 0.237
```

The excess energy over the best structure of this formula in the dataset is 0.191 eV/atom. The calculation puts the magnetization at 0.0 μB per formula unit. Its crystal system is tetragonal. For the energy relative to the elements, the calculation gives 0.0627 eV/atom.

[3]
The following is a DFT calculation (GGA-PBE) of CuMo2Ir after structural relaxation.

The structure in CIF format:
```
data_CuMo2Ir
_space_group_name_H-M_alt 'F -4 3 m'
_space_group_IT_number 216
_space_group_name_Hall 'F -4 2 3'
_cell_length_a 6.177
_cell_length_b 6.177
_cell_length_c 6.177
_cell_angle_alpha 90.00
_cell_angle_beta 90.00
_cell_angle_gamma 90.00
loop_
_atom_site_label
_atom_site_type_symbol
_atom_site_fract_x
_atom_site_fract_y
_atom_site_fract_z
Cu1 Cu 0.000 0.000 0.000
Mo1 Mo 0.000 0.000 0.500
Mo2 Mo 0.250 0.250 0.250
Ir1 Ir 0.250 0.250 0.750
```

The excess energy over the best structure of this formula in the dataset is 0.189 eV/atom. The calculation puts the magnetization at 0.0 μB per formula unit. Its crystal system is cubic. For the energy relative to the elements, the calculation gives 0.1507 eV/atom.